An optimized crystal structure of ErPuRu, computed with PBE-GGA.

Energy above the lowest structure with this stoichiometry (eV per atom): 0.1252
Total moment (μB per formula unit): 5.72

POSCAR file:
```
ErPuRu
1.0
-3.291 -0.102 -0.750
-0.469 -3.916 2.592
-0.586 4.236 1.997
Ru Er Pu
1 1 1
direct
0.166 0.000 0.000
0.667 0.667 0.333
0.167 0.333 0.667
```